DFT (PBE) results for TbTm4Pd4 after structural relaxation.

Unit cell a=5.6961 b=8.9318 c=8.9318 alpha=90.00 beta=90.00 gamma=90.00
Closest atoms and distances in Å follow each position.
Sites, in units of the cell vectors:
Tb 0.0000 0.0000 0.0000  4 Pd 2.82
Tb 0.5000 0.5000 0.5000  4 Pd 2.82
Tm 0.4110 0.3252 0.9061  5 Pd 2.80-2.90
Tm 0.9110 0.5939 0.8252  5 Pd 2.80-2.90
Tm 0.4110 0.6748 0.0939  5 Pd 2.80-2.90
Tm 0.0890 0.1748 0.5939  5 Pd 2.80-2.90
Tm 0.5890 0.9061 0.6748  5 Pd 2.80-2.90
Tm 0.0890 0.8252 0.4061  5 Pd 2.80-2.90
Tm 0.9110 0.4061 0.1748  5 Pd 2.80-2.90
Tm 0.5890 0.0939 0.3252  5 Pd 2.80-2.90
Pd 0.5908 0.7843 0.3742  5 Tm 2.80-2.90, 1 Tb 2.82, 1 Pd 2.93
Pd 0.5908 0.2157 0.6258  5 Tm 2.80-2.90, 1 Tb 2.82, 1 Pd 2.93
Pd 0.0908 0.8742 0.7157  5 Tm 2.80-2.90, 1 Tb 2.82, 1 Pd 2.93
Pd 0.9092 0.2843 0.8742  5 Tm 2.80-2.90, 1 Tb 2.82, 1 Pd 2.93
Pd 0.9092 0.7157 0.1258  5 Tm 2.80-2.90, 1 Tb 2.82, 1 Pd 2.93
Pd 0.4092 0.3742 0.2157  5 Tm 2.80-2.90, 1 Tb 2.82, 1 Pd 2.93
Pd 0.4092 0.6258 0.7843  5 Tm 2.80-2.90, 1 Tb 2.82, 1 Pd 2.93
Pd 0.0908 0.1258 0.2843  5 Tm 2.80-2.90, 1 Tb 2.82, 1 Pd 2.93

**Uncorrected energy**: -5.51 eV/atom
**DFT formation energy**: -697 meV per atom
**Magnetic moment**: 0.0000 μB per atom